Entry 1:
DFT (GGA-PBE) results for a geometry-optimized Tb4CuPd3 structure.

Its formation energy is -747 meV/atom. The calculation puts the total magnetization at 0.00 μB per formula unit. As for the density of states at the Fermi level: 5.74 states/eV/cell. The uncorrected energy is -5.52 eV per atom.

It has space group Pmm2 (No. 25), with a = 3.7583 Å, b = 4.5705 Å, c = 10.5362 Å, α = 90.00°, β = 90.00° and γ = 90.00°. The asymmetric unit holds Tb at (0.0000, 0.0000, 0.0000), Tb at (0.0000, 0.5000, 0.2756), Tb at (0.5000, 0.0000, 0.4986), Tb at (0.5000, 0.5000, 0.7753), Cu at (0.0000, 0.0000, 0.7145), Pd at (0.0000, 0.5000, 0.5596), Pd at (0.5000, 0.0000, 0.2239) and Pd at (0.5000, 0.5000, 0.0501).

=====

Entry 2:
DFT (GGA-PBE) results for a geometry-optimized Tb2CuPd structure.

Its formation energy is -588 meV/atom. The calculation puts the total magnetization at 0.00 μB per formula unit. As for the density of states at the Fermi level: 5.15 states/eV/cell. The uncorrected energy is -5.23 eV per atom.

It has space group Amm2 (No. 38), with a = 4.5578 Å, b = 3.7460 Å, c = 10.4945 Å, α = 90.00°, β = 90.00° and γ = 90.00°. The asymmetric unit holds Tb at (0.0000, 0.0000, 0.0000), Tb at (0.5000, 0.0000, 0.2774), Cu at (0.0000, 0.0000, 0.7168) and Pd at (0.5000, 0.0000, 0.5605).

=====

Entry 3:
DFT (GGA-PBE) results for a geometry-optimized Tb2CuPd structure.

Its formation energy is -551 meV/atom. The calculation puts the total magnetization at 0.00 μB per formula unit. As for the density of states at the Fermi level: 3.05 states/eV/cell. The uncorrected energy is -5.19 eV per atom.

It has space group P4/mmm (No. 123), with a = 4.9678 Å, b = 4.9678 Å, c = 3.5046 Å, α = 90.00°, β = 90.00° and γ = 90.00°. The asymmetric unit holds Tb at (0.0000, 0.5000, 0.0000), Cu at (0.0000, 0.0000, 0.5000) and Pd at (0.5000, 0.5000, 0.5000).

=====

Entry 4:
DFT (GGA-PBE) results for a geometry-optimized Tb2Cu3Pd structure.

Its formation energy is -415 meV/atom. The calculation puts the total magnetization at 0.00 μB per formula unit. As for the density of states at the Fermi level: 4.09 states/eV/cell. The uncorrected energy is -4.87 eV per atom.

It has space group Pmm2 (No. 25), with a = 3.5704 Å, b = 4.3171 Å, c = 7.4401 Å, α = 90.00°, β = 90.00° and γ = 90.00°. The asymmetric unit holds Tb at (0.0000, 0.0000, 0.0000), Tb at (0.0000, 0.5000, 0.4956), Cu at (0.5000, 0.0000, 0.6757), Cu at (0.5000, 0.5000, 0.1522), Cu at (0.5000, 0.5000, 0.8268) and Pd at (0.5000, 0.0000, 0.3330).

=====

Entry 5:
DFT (GGA-PBE) results for a geometry-optimized Tb2Cu3Pd structure.

Its formation energy is -415 meV/atom. The calculation puts the total magnetization at 0.00 μB per formula unit. As for the density of states at the Fermi level: 36.87 states/eV/cell. The uncorrected energy is -4.87 eV per atom.

It has space group Fmmm (No. 69), with a = 7.1008 Å, b = 8.5845 Å, c = 15.0332 Å, α = 90.00°, β = 90.00° and γ = 90.00°. The asymmetric unit holds Tb at (0.2489, 0.0000, 0.0000), Tb at (0.2500, 0.2500, 0.2500), Cu at (0.0000, 0.0000, 0.3370), Cu at (0.0000, 0.2436, 0.4189) and Pd at (0.0000, 0.0000, 0.1668).

=====

Entry 6:
DFT (GGA-PBE) results for a geometry-optimized Tb8Cu2Pd structure.

Its formation energy is -103 meV/atom. The calculation puts the total magnetization at 0.00 μB per formula unit. As for the density of states at the Fermi level: 30.49 states/eV/cell. The polymorph energy (0 for the lowest one) is 114 meV/atom. The uncorrected energy is -4.69 eV per atom.

It has space group Cm (No. 8), with a = 8.4101 Å, b = 13.0847 Å, c = 5.8138 Å, α = 90.00°, β = 109.38° and γ = 90.00°. The asymmetric unit holds Tb at (0.0000, 0.0000, 0.0000), Tb at (0.0877, 0.3732, 0.8028), Tb at (0.1583, 0.1270, 0.5872), Tb at (0.2425, 0.5000, 0.3755), Tb at (0.3727, 0.2129, 0.1894), Cu at (0.3698, 0.3043, 0.6846) and Pd at (0.3687, 0.0000, 0.0487).

=====

Q: The highest uncorrected energy belongs to which entry?
A: Tb8Cu2Pd

=====

Q: What is the density of states at the Fermi level in the fourth record?
A: 4.09 states/eV/cell

=====

Q: uncorrected energy of number 1 (Tb4CuPd3)?
A: -5.52 eV per atom